# TmGa2Ir2

An optimized crystal structure of TmGa2Ir2 (PBE, Alexandria).

a = 4.188 Å, b = 4.188 Å, c = 10.847 Å
α = 101.13°, β = 101.13°, γ = 90.00°
Fractional coordinates of all 10 atoms:
Tm  0.607  0.607  0.215
Tm  0.393  0.393  0.785
Ga  0.750  0.250  0.500
Ga  0.932  0.932  0.864
Ga  0.068  0.068  0.136
Ga  0.250  0.750  0.500
Ir  0.000  0.500  0.000
Ir  0.184  0.184  0.368
Ir  0.500  0.000  0.000
Ir  0.816  0.816  0.632

## Properties
Symmetry: I4/mmm (139)
Spin magnetization in μB per cell: 0.00
Crystal system: tetragonal
Energy relative to the elements in meV/atom: -660